The following is a PBE-GGA calculation of a geometry-optimized KAlH8Pd2 structure, from Alexandria.

Cell: 4.8618 4.8618 19.5452 Å, 90.00 90.00 120.00°
Last column: nearest neighbours and their distance in Å.
Space group R-3 (No. 148, hexagonal axes)
Asymmetric unit:
K 0.0000 0.0000 0.0000 [3 per cell]  12 H 2.76-2.92
Al 0.0000 0.0000 0.5000 [3 per cell]  6 H 1.82
H 0.0000 0.0000 0.2913 [6 per cell]  1 Pd 1.59
H 0.0073 0.2988 0.4425 [18 per cell]  1 Pd 1.72, 1 Al 1.82
Pd 0.0000 0.0000 0.2102 [6 per cell]  4 H 1.59-1.72

N(E_F) = 15.34 states/eV per cell
V = 11.1 Å³ per atom
total DFT energy (no corrections) = -3.46 eV per atom